YGa2OsRu: relaxed, PBE. Values from VASP.

```
&SYSTEM
  ibrav = 0, nat = 5, ntyp = 4
/
ATOMIC_SPECIES
Y 88.91 Y.upf
Ru 101.07 Ru.upf
Os 190.23 Os.upf
Ga 69.72 Ga.upf
CELL_PARAMETERS angstrom
-3.2358 3.3815 -0.3898
-2.9369 -3.1476 -2.9264
-2.1367 -1.5992 3.8644
ATOMIC_POSITIONS angstrom
Y -1.4684 -1.5738 -1.4632
Ru 0.0000 0.0000 0.0000
Os -4.1547 -0.6826 0.2741
Ga -1.0684 -0.7996 1.9322
Ga -1.6179 1.6908 -0.1949
```

Summary:
Crystal system: tetragonal
D(E_F): 0.9102 states/eV/atom
Formation energy from the elements: 707 meV/atom
Spin magnetization: 2.1 μB per cell
Total DFT energy (no corrections): -5.898 eV/atom